Record 1
First-principles (PBE) data for crystalline La5TbSm2Sc at its relaxed geometry, as listed in Alexandria via LeMat-Bulk.

Unit cell a=8.509 b=8.509 c=17.469 alpha=90.00 beta=90.00 gamma=90.00
Space group I4/mcm (No. 140)
Inequivalent atoms, fractional coordinates:
La  0.000  0.000  0.000 [4 per cell]
La  0.218  0.282  0.144 [16 per cell]
Tb  0.000  0.000  0.250 [4 per cell]
Sm  0.126  0.374  0.500 [8 per cell]
Sc  0.000  0.500  0.250 [4 per cell]

Results
Crystal system = tetragonal
E_form = 288 meV/atom
Calculated density = 6.30 g cm⁻³
Calculated total energy = -4.717 eV per atom
DOS at the Fermi energy = 64.342 states/eV/cell

=====

Record 2
First-principles (PBE) data for crystalline LaTbSm3Sc at its relaxed geometry, as listed in Alexandria via LeMat-Bulk.

Unit cell a=5.022 b=15.200 c=10.171 alpha=90.00 beta=90.00 gamma=90.00
Space group Cmcm (No. 63)
Inequivalent atoms, fractional coordinates:
La  0.000  0.004  0.250 [4 per cell]
Tb  0.000  0.500  0.000 [4 per cell]
Sm  0.000  0.168  0.001 [8 per cell]
Sm  0.000  0.329  0.250 [4 per cell]
Sc  0.000  0.331  0.750 [4 per cell]

Results
Crystal system = orthorhombic
E_form = 45 meV/atom
Calculated density = 6.79 g cm⁻³
Calculated total energy = -4.963 eV per atom
DOS at the Fermi energy = 38.914 states/eV/cell

=====

Record 3
First-principles (PBE) data for crystalline La5Tb2SmSc at its relaxed geometry, as listed in Alexandria via LeMat-Bulk.

Unit cell a=8.261 b=8.261 c=9.305 alpha=90.00 beta=90.00 gamma=90.00
Space group P4/mbm (No. 127)
Inequivalent atoms, fractional coordinates:
La  0.000  0.000  0.000 [2 per cell]
La  0.210  0.290  0.277 [8 per cell]
Tb  0.128  0.628  0.000 [4 per cell]
Sm  0.000  0.000  0.500 [2 per cell]
Sc  0.000  0.500  0.500 [2 per cell]

Results
Crystal system = tetragonal
E_form = 292 meV/atom
Calculated density = 6.32 g cm⁻³
Calculated total energy = -4.702 eV per atom
DOS at the Fermi energy = 27.242 states/eV/cell

=====

Record 4
First-principles (PBE) data for crystalline La2TbSm5Sc at its relaxed geometry, as listed in Alexandria via LeMat-Bulk.

Unit cell a=5.461 b=22.057 c=10.139 alpha=90.00 beta=90.00 gamma=90.00
Space group Cmcm (No. 63)
Inequivalent atoms, fractional coordinates:
La  0.000  0.117  0.007 [8 per cell]
Tb  0.000  0.397  0.250 [4 per cell]
Sm  0.000  0.000  0.250 [4 per cell]
Sm  0.000  0.277  0.063 [8 per cell]
Sm  0.000  0.373  0.750 [4 per cell]
Sm  0.000  0.500  0.000 [4 per cell]
Sc  0.000  0.215  0.750 [4 per cell]

Results
Crystal system = orthorhombic
E_form = 120 meV/atom
Calculated density = 6.71 g cm⁻³
Calculated total energy = -4.815 eV per atom
DOS at the Fermi energy = 56.879 states/eV/cell

=====

Record 5
First-principles (PBE) data for crystalline La3Tb2Sm6Sc at its relaxed geometry, as listed in Alexandria via LeMat-Bulk.

Unit cell a=6.263 b=10.858 c=11.998 alpha=90.00 beta=100.07 gamma=90.00
Space group C2/m (No. 12)
Inequivalent atoms, fractional coordinates:
La  0.000  0.000  0.000 [2 per cell]
La  0.000  0.333  0.000 [4 per cell]
Tb  0.000  0.166  0.500 [4 per cell]
Sm  0.245  0.335  0.742 [8 per cell]
Sm  0.250  0.000  0.742 [4 per cell]
Sc  0.000  0.500  0.500 [2 per cell]

Results
Crystal system = monoclinic
E_form = 34 meV/atom
Calculated density = 6.95 g cm⁻³
Calculated total energy = -4.857 eV per atom
DOS at the Fermi energy = 38.111 states/eV/cell

=====

Record 6
First-principles (PBE) data for crystalline LaTb2Sm4Sc at its relaxed geometry, as listed in Alexandria via LeMat-Bulk.

Unit cell a=5.042 b=5.057 c=10.187 alpha=90.00 beta=90.01 gamma=90.00
Space group P2/m (No. 10)
Inequivalent atoms, fractional coordinates:
La  0.000  0.000  0.000 [1 per cell]
Tb  0.000  0.000  0.500 [1 per cell]
Tb  0.500  0.500  0.500 [1 per cell]
Sm  0.001  0.500  0.751 [2 per cell]
Sm  0.500  0.000  0.249 [2 per cell]
Sc  0.500  0.500  0.000 [1 per cell]

Results
Crystal system = monoclinic
E_form = 27 meV/atom
Calculated density = 7.05 g cm⁻³
Calculated total energy = -4.897 eV per atom
DOS at the Fermi energy = 11.981 states/eV/cell

=====

Record 7
First-principles (PBE) data for crystalline LaTb2SmSc2 at its relaxed geometry, as listed in Alexandria via LeMat-Bulk.

Unit cell a=6.307 b=17.745 c=3.352 alpha=90.00 beta=90.00 gamma=90.00
Space group Pnnm (No. 58)
Inequivalent atoms, fractional coordinates:
La  0.000  0.000  0.000 [2 per cell]
Tb  0.211  0.194  0.000 [4 per cell]
Sm  0.000  0.500  0.000 [2 per cell]
Sc  0.208  0.354  0.500 [4 per cell]

Results
Crystal system = orthorhombic
E_form = 275 meV/atom
Calculated density = 6.17 g cm⁻³
Calculated total energy = -4.986 eV per atom
DOS at the Fermi energy = 21.359 states/eV/cell

=====

Record 8
First-principles (PBE) data for crystalline La6TbSm2Sc at its relaxed geometry, as listed in Alexandria via LeMat-Bulk.

Unit cell a=11.636 b=7.069 c=8.834 alpha=90.00 beta=104.73 gamma=90.00
Space group C2/m (No. 12)
Inequivalent atoms, fractional coordinates:
La  0.126  0.000  0.398 [4 per cell]
La  0.166  0.255  0.796 [8 per cell]
Tb  0.000  0.500  0.500 [2 per cell]
Sm  0.096  0.500  0.167 [4 per cell]
Sc  0.000  0.000  0.000 [2 per cell]

Results
Crystal system = monoclinic
E_form = 211 meV/atom
Calculated density = 6.32 g cm⁻³
Calculated total energy = -4.786 eV per atom
DOS at the Fermi energy = 36.615 states/eV/cell

=====

Record 9
First-principles (PBE) data for crystalline La2Tb5SmSc at its relaxed geometry, as listed in Alexandria via LeMat-Bulk.

Unit cell a=5.626 b=19.941 c=10.529 alpha=90.00 beta=90.00 gamma=90.00
Space group Cmc2_1 (No. 36)
Inequivalent atoms, fractional coordinates:
La  0.000  0.115  0.000 [4 per cell]
La  0.000  0.116  0.420 [4 per cell]
Tb  0.000  0.015  0.704 [4 per cell]
Tb  0.000  0.276  0.007 [4 per cell]
Tb  0.000  0.295  0.389 [4 per cell]
Tb  0.000  0.374  0.705 [4 per cell]
Tb  0.000  0.484  0.428 [4 per cell]
Sm  0.000  0.410  0.149 [4 per cell]
Sc  0.000  0.198  0.699 [4 per cell]

Results
Crystal system = orthorhombic
E_form = 152 meV/atom
Calculated density = 7.13 g cm⁻³
Calculated total energy = -4.743 eV per atom
DOS at the Fermi energy = 46.987 states/eV/cell

=====

Record 10
First-principles (PBE) data for crystalline La2Tb6Sm3Sc at its relaxed geometry, as listed in Alexandria via LeMat-Bulk.

Unit cell a=6.206 b=10.749 c=11.884 alpha=90.00 beta=100.03 gamma=90.00
Space group C2/m (No. 12)
Inequivalent atoms, fractional coordinates:
La  0.000  0.166  0.000 [4 per cell]
Tb  0.247  0.500  0.750 [4 per cell]
Tb  0.248  0.335  0.250 [8 per cell]
Sm  0.000  0.000  0.500 [2 per cell]
Sm  0.000  0.334  0.500 [4 per cell]
Sc  0.000  0.500  0.000 [2 per cell]

Results
Crystal system = monoclinic
E_form = 26 meV/atom
Calculated density = 7.35 g cm⁻³
Calculated total energy = -4.817 eV per atom
DOS at the Fermi energy = 32.005 states/eV/cell

=====

Record 11
First-principles (PBE) data for crystalline La2Sm3ScTe6 at its relaxed geometry, as listed in Alexandria via LeMat-Bulk.

Unit cell a=19.360 b=4.432 c=8.938 alpha=90.00 beta=103.02 gamma=90.00
Space group C2/m (No. 12)
Inequivalent atoms, fractional coordinates:
La  0.166  0.000  0.334 [4 per cell]
Sm  0.000  0.500  0.500 [2 per cell]
Sm  0.174  0.000  0.838 [4 per cell]
Sc  0.000  0.500  0.000 [2 per cell]
Te  0.005  0.000  0.767 [4 per cell]
Te  0.157  0.500  0.073 [4 per cell]
Te  0.164  0.500  0.590 [4 per cell]

Results
Crystal system = monoclinic
Calculated density = 6.84 g cm⁻³
Calculated total energy = -5.491 eV per atom
DOS at the Fermi energy = 15.014 states/eV/cell
Raw formation energy = -16.7 eV per formula unit

=====

Record 12
First-principles (PBE) data for crystalline LaSmScTl at its relaxed geometry, as listed in Alexandria via LeMat-Bulk.

Unit cell a=7.808 b=7.808 c=7.808 alpha=90.00 beta=90.00 gamma=90.00
Space group F-43m (No. 216)
Inequivalent atoms, fractional coordinates:
La  0.000  0.000  0.000 [4 per cell]
Sm  0.000  0.000  0.500 [4 per cell]
Sc  0.250  0.250  0.750 [4 per cell]
Tl  0.250  0.250  0.250 [4 per cell]

Results
Crystal system = cubic
E_form = -91 meV/atom
Calculated density = 7.52 g cm⁻³
Calculated total energy = -4.677 eV per atom
DOS at the Fermi energy = 19.659 states/eV/cell